Compound: Nd7Pd2Rh2
Source: the Alexandria database
Functional: PBE
Structure: relaxed

Cell and atoms, written as POSCAR:
```
Nd7Pd2Rh2
1.0
3.982 -5.596 0.000
3.982 5.596 0.000
0.000 0.000 7.092
Nd Pd Rh
7 2 2
Direct
0.000 0.000 0.000
0.000 0.500 0.266
0.000 0.500 0.734
0.500 0.000 0.266
0.500 0.000 0.734
0.500 0.500 0.258
0.500 0.500 0.742
0.185 0.185 0.500
0.815 0.815 0.500
0.292 0.708 0.000
0.708 0.292 0.000
```

Calculated values
The value obtained for the calculated volume is 28.73 Å³/atom. The calculated formation energy is -400 meV per atom.